PBE KScIrO6, relaxed; D(E_F) = 0.542 states/eV/atom; final energy = -59.13 eV/cell; uncorrected formation energy = -1.455 eV per atom; V = 149.2 Å³/f.u.; symmetry = P312; total magnetic moment = 0.8 μB/cell
1.0
-4.404 2.074 -2.292
-2.244 -2.458 -4.228
-3.418 -3.198 3.673
K Sc Ir O
1 1 1 6
direct
0.000 0.000 0.000
0.667 0.667 0.500
0.333 0.333 0.500
0.029 0.366 0.318
0.366 0.029 0.682
0.605 0.366 0.682
0.029 0.605 0.682
0.366 0.605 0.318
0.605 0.029 0.318

=====

PBE Tb2ThAl, relaxed; D(E_F) = 1.402 states/eV/atom; final energy = -20.99 eV/cell; V = 110.8 Å³/f.u.; symmetry = P4/mmm; total magnetic moment = 0.0 μB/cell
1.0
4.788 0.000 0.000
0.000 4.811 0.000
0.000 0.000 4.811
Tb Al Th
2 1 1
direct
0.000 0.000 0.500
0.000 0.500 0.000
0.500 0.000 0.000
0.500 0.500 0.500

=====

PBE Pm12TlCd3, relaxed; D(E_F) = 1.419 states/eV/atom; final energy = -64.24 eV/cell; V = 485.8 Å³/f.u.; symmetry = P4/mmm; total magnetic moment = 0.0 μB/cell
1.0
4.958 0.000 0.000
0.000 4.958 0.000
0.000 0.000 19.758
Pm Tl Cd
12 1 3
direct
0.500 0.500 0.000
0.500 0.500 0.251
0.500 0.500 0.500
0.500 0.500 0.749
0.500 0.000 0.126
0.500 0.000 0.375
0.500 0.000 0.625
0.500 0.000 0.874
0.000 0.500 0.126
0.000 0.500 0.375
0.000 0.500 0.625
0.000 0.500 0.874
0.000 0.000 0.000
0.000 0.000 0.250
0.000 0.000 0.500
0.000 0.000 0.750